Record 1
U4PdPt15: relaxed, PBE.

Structure (POSCAR):
```
U4PdPt15
1.0
4.144 0.000 0.000
0.000 4.144 0.000
0.000 0.000 20.358
U Pd Pt
4 1 15
Cartesian
0.000 0.000 2.098
0.000 0.000 6.327
0.000 0.000 14.031
0.000 0.000 18.260
0.000 0.000 10.179
0.000 2.072 0.000
0.000 2.072 4.186
0.000 2.072 8.215
0.000 2.072 12.143
0.000 2.072 16.172
2.072 0.000 0.000
2.072 0.000 4.186
2.072 0.000 8.215
2.072 0.000 12.143
2.072 0.000 16.172
2.072 2.072 2.082
2.072 2.072 6.193
2.072 2.072 10.179
2.072 2.072 14.165
2.072 2.072 18.276
```

## Properties
Magnetization in μB per atom: 0.283
Space group: P4/mmm
ΔE_f in meV/atom: -601
Raw total energy in eV/cell: -152.979

Record 2
UPd2Pt6: relaxed, PBE.

Structure (POSCAR):
```
UPd2Pt6
1.0
3.122 -6.246 0.000
3.122 6.246 0.000
-1.379 0.000 3.962
U Pd Pt
1 2 6
Cartesian
0.000 0.000 0.000
2.433 4.231 1.981
2.433 -4.231 1.981
1.853 1.929 0.625
1.120 0.000 2.606
1.853 -1.929 0.625
3.013 1.929 3.337
3.746 0.000 1.355
3.013 -1.929 3.337
```

## Properties
Magnetization in μB per atom: 0.000
Space group: C2/m
ΔE_f in meV/atom: -316
Raw total energy in eV/cell: -60.762

Record 3
UPdPt6: relaxed, PBE.

Structure (POSCAR):
```
UPdPt6
1.0
5.711 0.000 0.000
0.000 5.711 0.000
0.000 0.000 4.080
U Pd Pt
1 1 6
Cartesian
0.000 0.000 0.000
2.855 2.855 0.000
0.000 2.855 0.000
1.422 1.422 2.040
1.422 4.288 2.040
2.855 0.000 0.000
4.288 1.422 2.040
4.288 4.288 2.040
```

## Properties
Magnetization in μB per atom: 0.007
Distance to the lowest polymorph of the same formula in meV per atom: 0
Space group: P4/mmm
ΔE_f in meV/atom: -475
Raw total energy in eV/cell: -56.523

Record 4
UPd8Pt2: relaxed, PBE.

Structure (POSCAR):
```
UPd8Pt2
1.0
4.077 -5.251 0.000
4.077 5.251 0.000
0.000 0.000 4.408
U Pd Pt
1 8 2
Cartesian
0.000 0.000 0.000
1.371 1.400 2.204
4.077 2.700 0.000
1.371 -1.400 2.204
2.663 0.000 0.000
5.491 0.000 0.000
6.783 1.400 2.204
4.077 -2.700 0.000
6.783 -1.400 2.204
4.077 1.290 2.204
4.077 -1.290 2.204
```

## Properties
Magnetization in μB per atom: 0.000
Distance to the lowest polymorph of the same formula in meV per atom: 0
Space group: Cmmm
ΔE_f in meV/atom: -174
Raw total energy in eV/cell: -66.831

Record 5
UPd2Pt2: relaxed, PBE.

Structure (POSCAR):
```
UPd2Pt2
1.0
-2.555 2.555 3.865
2.555 -2.555 3.865
2.555 2.555 -3.865
U Pd Pt
1 2 2
Cartesian
0.000 0.000 0.000
0.000 0.000 2.589
0.000 0.000 5.142
2.555 0.000 1.933
0.000 2.555 1.933
```

## Properties
Magnetization in μB per atom: 0.370
Distance to the lowest polymorph of the same formula in meV per atom: 147
Space group: I4/mmm
ΔE_f in meV/atom: 1
Raw total energy in eV/cell: -33.752

Record 6
UPd3Pt2: relaxed, PBE.

Structure (POSCAR):
```
UPd3Pt2
1.0
0.000 4.459 8.252
2.798 0.000 8.252
2.798 4.459 0.000
U Pd Pt
2 6 4
Cartesian
2.798 4.459 2.523
2.798 4.459 13.981
2.798 2.298 6.894
2.798 4.459 5.317
2.798 2.298 9.611
2.798 6.620 6.894
2.798 4.459 11.188
2.798 6.620 9.611
1.399 2.230 4.126
4.181 4.459 8.252
1.415 4.459 8.252
4.197 6.689 12.379
```

## Properties
Magnetization in μB per atom: 0.106
Distance to the lowest polymorph of the same formula in meV per atom: 56
Space group: Fmmm
ΔE_f in meV/atom: -408
Raw total energy in eV/cell: -82.789

Record 7
U2Pd3Pt4: relaxed, PBE.

Structure (POSCAR):
```
U2Pd3Pt4
1.0
6.037 -4.728 0.000
6.037 4.728 0.000
-0.058 0.000 5.711
U Pd Pt
4 6 8
Cartesian
2.673 1.171 0.582
2.644 -1.171 3.438
9.372 1.171 2.273
9.343 -1.171 5.128
5.993 4.505 4.283
4.642 0.498 3.845
4.671 -0.498 0.990
7.345 0.498 4.721
7.374 -0.498 1.865
6.022 -4.505 1.428
1.978 1.532 3.356
5.513 2.158 0.158
6.531 2.158 2.697
2.006 -1.532 0.500
10.009 1.532 5.211
5.485 -2.158 3.014
6.502 -2.158 5.553
10.038 -1.532 2.355
```

## Properties
Magnetization in μB per atom: 0.299
Space group: C2/c
ΔE_f in meV/atom: -420
Raw total energy in eV/cell: -132.192

Record 8
U2Pd3Pt8: relaxed, PBE.

Structure (POSCAR):
```
U2Pd3Pt8
1.0
7.155 -4.291 0.000
7.155 4.291 0.000
-0.479 0.000 3.880
U Pd Pt
2 3 8
Cartesian
2.879 0.000 1.191
10.953 0.000 2.689
7.155 1.987 0.000
6.916 0.000 1.940
7.155 -1.987 0.000
0.703 0.000 3.072
4.909 1.984 1.789
4.577 0.000 3.587
8.922 1.984 2.091
4.909 -1.984 1.789
9.254 0.000 0.293
8.922 -1.984 2.091
13.129 0.000 0.808
```

## Properties
Magnetization in μB per atom: 0.001
Space group: C2/m
ΔE_f in meV/atom: -333
Raw total energy in eV/cell: -90.807

Record 9
UPd5Pt6: relaxed, PBE.

Structure (POSCAR):
```
UPd5Pt6
1.0
-2.041 4.037 5.901
2.041 -4.037 5.901
2.041 4.037 -5.901
U Pd Pt
1 5 6
Cartesian
0.000 0.000 0.000
2.041 0.000 1.988
0.000 0.000 3.946
0.000 4.037 0.000
0.000 0.000 7.856
0.000 4.037 3.913
2.041 -2.044 3.949
2.041 2.007 0.000
0.000 1.993 1.952
2.041 2.044 3.949
0.000 2.030 5.901
0.000 6.081 1.952
```

## Properties
Magnetization in μB per atom: 0.000
Space group: Immm
ΔE_f in meV/atom: -334
Raw total energy in eV/cell: -77.502

Record 10
UPdPt4: relaxed, PBE.

Structure (POSCAR):
```
UPdPt4
1.0
0.000 3.746 3.746
3.746 0.000 3.746
3.746 3.746 0.000
U Pd Pt
1 1 4
Cartesian
0.000 0.000 0.000
5.618 5.618 5.618
2.812 2.812 2.812
4.679 4.679 2.812
4.679 2.812 4.679
2.812 4.679 4.679
```

## Properties
Magnetization in μB per atom: 0.068
Space group: F-43m
ΔE_f in meV/atom: -578
Raw total energy in eV/cell: -44.113

Record 11
UPdPt3: relaxed, PBE.

Structure (POSCAR):
```
UPdPt3
1.0
2.733 -6.609 0.000
2.733 6.609 0.000
0.000 0.000 5.216
U Pd Pt
2 2 6
Cartesian
2.733 4.884 3.912
2.733 -4.884 1.304
2.733 2.408 1.304
2.733 -2.408 3.912
1.363 1.937 3.912
1.363 -1.937 1.304
2.733 0.000 0.000
2.733 0.000 2.608
4.104 1.937 3.912
4.104 -1.937 1.304
```

## Properties
Magnetization in μB per atom: 0.357
Distance to the lowest polymorph of the same formula in meV per atom: 0
Space group: Cmcm
ΔE_f in meV/atom: -413
Raw total energy in eV/cell: -73.335

Record 12
U2PdPt9: relaxed, PBE.

Structure (POSCAR):
```
U2PdPt9
1.0
4.135 0.000 0.000
0.000 4.135 0.000
0.000 0.000 12.018
U Pd Pt
2 1 9
Cartesian
0.000 0.000 2.140
0.000 0.000 9.878
0.000 0.000 6.009
0.000 2.067 0.000
0.000 2.067 4.043
0.000 2.067 7.974
2.067 0.000 0.000
2.067 0.000 4.043
2.067 0.000 7.974
2.067 2.067 2.024
2.067 2.067 6.009
2.067 2.067 9.994
```

## Properties
Magnetization in μB per atom: 0.149
Space group: P4/mmm
ΔE_f in meV/atom: -526
Raw total energy in eV/cell: -88.446

Record 13
U2Pd7Pt3: relaxed, PBE.

Structure (POSCAR):
```
U2Pd7Pt3
1.0
3.992 0.000 0.000
0.000 3.571 0.000
-1.945 0.000 15.202
U Pd Pt
2 7 3
Cartesian
0.022 0.000 4.259
2.025 0.000 10.944
-0.003 1.785 2.147
0.026 0.000 6.773
0.053 0.000 12.997
1.996 1.785 0.000
1.994 0.000 2.205
2.022 0.000 8.430
2.050 1.785 13.055
0.000 0.000 0.000
0.028 1.785 9.652
2.020 1.785 5.550
```

## Properties
Magnetization in μB per atom: 0.130
Space group: P2/m
ΔE_f in meV/atom: -192
Raw total energy in eV/cell: -79.349

Record 14
VPdPt6: relaxed, PBE.

Structure (POSCAR):
```
VPdPt6
1.0
3.936 0.000 0.000
0.000 3.936 0.000
0.000 0.000 7.868
V Pd Pt
1 1 6
Cartesian
0.000 0.000 0.000
0.000 0.000 3.934
0.000 1.968 1.884
0.000 1.968 5.984
1.968 0.000 1.884
1.968 0.000 5.984
1.968 1.968 0.000
1.968 1.968 3.934
```

## Properties
Magnetization in μB per atom: 0.000
Space group: P4/mmm
ΔE_f in meV/atom: -299
Raw total energy in eV/cell: -52.952

Record 15
V2PdPt8: relaxed, PBE.

Structure (POSCAR):
```
V2PdPt8
1.0
-1.998 3.702 5.818
1.998 -3.702 5.818
1.998 3.702 -5.818
V Pd Pt
2 1 8
Cartesian
0.000 0.000 2.222
0.000 0.000 9.415
0.000 0.000 5.818
1.998 1.674 -1.858
0.000 1.396 0.000
1.998 0.000 3.967
1.998 1.674 1.858
0.000 2.027 3.961
0.000 3.702 1.851
0.000 6.007 0.000
0.000 2.027 7.676
```

## Properties
Magnetization in μB per atom: 0.000
Space group: Immm
ΔE_f in meV/atom: -314
Raw total energy in eV/cell: -75.209

Record 16
VPdPt3: relaxed, PBE.

Structure (POSCAR):
```
VPdPt3
1.0
4.586 0.000 0.000
0.000 4.586 0.000
0.000 0.000 4.586
V Pd Pt
1 1 3
Cartesian
0.000 0.000 0.000
2.293 2.293 2.293
0.000 0.000 2.293
0.000 2.293 0.000
2.293 0.000 0.000
```

## Properties
Magnetization in μB per atom: 0.000
Distance to the lowest polymorph of the same formula in meV per atom: 1027
Space group: Pm-3m
ΔE_f in meV/atom: 765
Raw total energy in eV/cell: -28.610

Record 17
V2PdPt4: relaxed, PBE.

Structure (POSCAR):
```
V2PdPt4
1.0
-1.650 1.650 9.714
1.650 -1.650 9.714
1.650 1.650 -9.714
V Pd Pt
2 1 4
Cartesian
0.000 0.000 2.808
0.000 0.000 16.619
0.000 0.000 0.000
0.000 0.000 5.589
0.000 0.000 8.255
0.000 0.000 11.173
0.000 0.000 13.839
```

## Properties
Magnetization in μB per atom: 0.000
Distance to the lowest polymorph of the same formula in meV per atom: 3
Space group: I4/mmm
ΔE_f in meV/atom: -385
Raw total energy in eV/cell: -50.291

Record 18
VPd6Pt: relaxed, PBE.

Structure (POSCAR):
```
VPd6Pt
1.0
5.026 0.000 0.000
-0.401 5.014 0.000
-0.391 -0.435 5.000
V Pd Pt
1 6 1
Cartesian
0.000 0.000 0.000
-0.335 2.528 3.789
0.664 4.635 2.146
1.686 0.795 4.807
2.548 3.783 0.193
3.570 -0.056 2.854
4.569 2.051 1.211
2.117 2.289 2.500
```

## Properties
Magnetization in μB per atom: 0.000
Distance to the lowest polymorph of the same formula in meV per atom: 129
Space group: P-1
ΔE_f in meV/atom: -24
Raw total energy in eV/cell: -46.508

Record 19
V3Pd7Pt2: relaxed, PBE.

Structure (POSCAR):
```
V3Pd7Pt2
1.0
2.803 0.000 0.000
0.000 4.340 0.000
-1.393 0.000 16.152
V Pd Pt
3 7 2
Cartesian
0.000 0.000 0.000
0.004 2.170 10.838
1.406 2.170 5.315
0.000 2.170 2.949
0.004 0.000 9.200
0.007 0.000 14.080
1.401 2.170 0.000
1.403 0.000 2.072
1.405 0.000 6.952
1.409 2.170 13.203
0.005 0.000 4.601
1.404 0.000 11.551
```

## Properties
Magnetization in μB per atom: 0.277
Space group: P2/m
ΔE_f in meV/atom: -32
Raw total energy in eV/cell: -76.176

Record 20
V2PdPt: relaxed, PBE.

Structure (POSCAR):
```
V2PdPt
1.0
-3.449 3.449 2.647
3.449 -3.449 2.647
3.449 3.449 -2.647
V Pd Pt
4 2 2
Cartesian
5.173 1.650 -0.662
1.650 1.724 0.662
-1.724 1.799 1.985
1.799 1.724 3.308
3.449 0.000 1.323
0.000 0.000 2.647
0.000 0.000 0.000
0.000 3.449 1.323
```

## Properties
Magnetization in μB per atom: 0.000
Space group: I-42d
ΔE_f in meV/atom: 126
Raw total energy in eV/cell: -57.933